Density functional theory data (PBE-GGA) for a geometry-optimized NaPRu3 structure.

a = 4.437 Å, b = 4.437 Å, c = 4.437 Å
α = 90.00°, β = 90.00°, γ = 90.00°
Sites, in units of the cell vectors:
Na 0.000 0.000 0.000
P 0.500 0.500 0.500
Ru 0.000 0.000 0.500
Ru 0.000 0.500 0.000
Ru 0.500 0.000 0.000

Summary:
Crystal system = cubic
Formation enthalpy at 0 K = 2.49 eV/atom
N(E_F) = 1.504 states/eV per atom
E above lowest polymorph = 2061 meV/atom